# 1
Ho2HfSi2Rh5 | PBE | relaxed

Computed properties:
crystal system: tetragonal
formation energy (no corrections): -1029 meV per atom

a = 3.555 Å, b = 9.742 Å, c = 9.742 Å
α = 90.00°, β = 90.00°, γ = 90.00°
Fractional positions:
1 Ho 0.000 0.674 0.174
2 Ho 0.000 0.326 0.826
3 Ho 0.000 0.174 0.326
4 Ho 0.000 0.826 0.674
5 Hf 0.000 0.000 0.000
6 Hf 0.000 0.500 0.500
7 Si 0.000 0.122 0.622
8 Si 0.000 0.878 0.378
9 Si 0.000 0.622 0.878
10 Si 0.000 0.378 0.122
11 Rh 0.500 0.214 0.069
12 Rh 0.500 0.786 0.931
13 Rh 0.500 0.069 0.786
14 Rh 0.500 0.714 0.431
15 Rh 0.500 0.931 0.214
16 Rh 0.500 0.286 0.569
17 Rh 0.500 0.569 0.714
18 Rh 0.500 0.431 0.286
19 Rh 0.500 0.500 0.000
20 Rh 0.500 0.000 0.500

***

# 2
HoHfZnRh | PBE | relaxed

Computed properties:
VASP energy: -6.27 eV per atom
crystal system: cubic

a = 4.784 Å, b = 4.784 Å, c = 4.784 Å
α = 60.00°, β = 60.00°, γ = 60.00°
Fractional positions:
1 Rh 0.500 0.500 0.500
2 Zn 0.000 0.000 0.000
3 Hf 0.250 0.250 0.250
4 Ho 0.750 0.750 0.750

***

# 3
HoHfRu | PBE | relaxed

Computed properties:
crystal system: tetragonal
distance to the lowest polymorph of the same formula: 86 meV/atom

a = 3.323 Å, b = 3.323 Å, c = 6.214 Å
α = 105.51°, β = 105.51°, γ = 90.00°
Last column: magnetic moment on the atom in μB.
Fractional positions:
1 Ru 0.680 0.680 0.360  0.14
2 Hf 0.303 0.303 0.606  0.33
3 Ho 0.017 0.017 0.034  0.34

***

# 4
HoHfRu2 | PBE | relaxed

Computed properties:
crystal system: tetragonal
distance to the lowest polymorph of the same formula: 0 meV/atom

a = 3.295 Å, b = 3.295 Å, c = 6.690 Å
α = 90.00°, β = 90.00°, γ = 90.00°
Fractional positions:
1 Ru 0.000 0.000 0.768
2 Ru 0.000 0.000 0.232
3 Hf 0.500 0.500 0.000
4 Ho 0.500 0.500 0.500

***

# 5
HoHfRu2 | PBE | relaxed

Computed properties:
crystal system: cubic
distance to the lowest polymorph of the same formula: 35 meV/atom

a = 4.677 Å, b = 4.677 Å, c = 4.677 Å
α = 60.00°, β = 60.00°, γ = 60.00°
Fractional positions:
1 Ru 0.250 0.250 0.250
2 Ru 0.750 0.750 0.750
3 Hf 0.500 0.500 0.500
4 Ho 0.000 0.000 0.000

***

# 6
Ho2HfRu3 | PBE | relaxed

Computed properties:
VASP energy: -8.34 eV per atom
crystal system: orthorhombic

a = 4.705 Å, b = 7.427 Å, c = 6.707 Å
α = 90.00°, β = 90.00°, γ = 71.54°
Fractional positions:
1 Ho 0.000 0.000 0.000
2 Ho 0.000 0.000 0.500
3 Ho 0.333 0.333 0.500
4 Ho 0.667 0.667 0.500
5 Hf 0.332 0.336 0.000
6 Hf 0.668 0.664 0.000
7 Ru 0.829 0.341 0.765
8 Ru 0.500 0.000 0.239
9 Ru 0.171 0.659 0.235
10 Ru 0.829 0.341 0.235
11 Ru 0.171 0.659 0.765
12 Ru 0.500 0.000 0.761

***

# 7
Ho5HfRu6 | PBE | relaxed

Computed properties:
VASP energy: -7.80 eV per atom
crystal system: orthorhombic

a = 4.742 Å, b = 6.740 Å, c = 7.496 Å
α = 90.00°, β = 71.56°, γ = 90.00°
Fractional positions:
1 Ru 0.839 0.756 0.323
2 Ru 0.839 0.244 0.323
3 Ru 0.500 0.239 0.000
4 Ru 0.500 0.761 0.000
5 Ru 0.161 0.756 0.677
6 Ru 0.161 0.244 0.677
7 Hf 0.000 0.000 0.000
8 Ho 0.666 0.500 0.667
9 Ho 0.334 0.000 0.332
10 Ho 0.000 0.500 0.000
11 Ho 0.666 0.000 0.668
12 Ho 0.334 0.500 0.333

***

# 8
HoHfRu | PBE | relaxed

Computed properties:
crystal system: monoclinic
distance to the lowest polymorph of the same formula: 0 meV/atom

a = 4.472 Å, b = 7.011 Å, c = 12.505 Å
α = 90.12°, β = 90.00°, γ = 90.00°
Fractional positions:
1 Ho 0.750 0.517 0.379
2 Ho 0.250 0.005 0.710
3 Ho 0.750 0.995 0.290
4 Ho 0.750 0.625 0.089
5 Ho 0.250 0.483 0.621
6 Ho 0.250 0.375 0.911
7 Ru 0.250 0.798 0.896
8 Ru 0.750 0.293 0.755
9 Ru 0.750 0.769 0.568
10 Ru 0.750 0.202 0.104
11 Ru 0.250 0.231 0.432
12 Ru 0.250 0.707 0.245
13 Hf 0.250 0.967 0.088
14 Hf 0.250 0.855 0.457
15 Hf 0.750 0.660 0.786
16 Hf 0.750 0.145 0.543
17 Hf 0.250 0.340 0.214
18 Hf 0.750 0.033 0.912

***

# 9
HoHf2Ru3 | PBE | relaxed

Computed properties:
VASP energy: -9.42 eV per atom
crystal system: tetragonal

a = 3.277 Å, b = 3.277 Å, c = 9.939 Å
α = 90.00°, β = 90.00°, γ = 90.00°
Fractional positions:
1 Ho 0.500 0.500 0.500
2 Hf 0.500 0.500 0.836
3 Hf 0.500 0.500 0.164
4 Ru 0.000 0.000 0.000
5 Ru 0.000 0.000 0.683
6 Ru 0.000 0.000 0.317

***

# 10
Ho3HfRu4 | PBE | relaxed

Computed properties:
VASP energy: -8.08 eV per atom
crystal system: tetragonal

a = 3.333 Å, b = 3.333 Å, c = 13.465 Å
α = 90.00°, β = 90.00°, γ = 90.00°
Fractional positions:
1 Ru 0.000 0.000 0.886
2 Ru 0.000 0.000 0.114
3 Ru 0.000 0.000 0.372
4 Ru 0.000 0.000 0.628
5 Hf 0.500 0.500 0.000
6 Ho 0.500 0.500 0.248
7 Ho 0.500 0.500 0.500
8 Ho 0.500 0.500 0.752

***

# 11
Ho4HfRu5 | PBE | relaxed

Computed properties:
VASP energy: -7.92 eV per atom
crystal system: tetragonal

a = 3.343 Å, b = 3.343 Å, c = 16.865 Å
α = 90.00°, β = 90.00°, γ = 90.00°
Fractional positions:
1 Ho 0.000 0.000 0.198
2 Ho 0.000 0.000 0.399
3 Ho 0.000 0.000 0.601
4 Ho 0.000 0.000 0.802
5 Hf 0.000 0.000 0.000
6 Ru 0.500 0.500 0.091
7 Ru 0.500 0.500 0.297
8 Ru 0.500 0.500 0.500
9 Ru 0.500 0.500 0.703
10 Ru 0.500 0.500 0.909

***

# 12
HoHf2Ru | PBE | relaxed

Computed properties:
VASP energy: -8.66 eV per atom
crystal system: tetragonal

a = 3.276 Å, b = 3.276 Å, c = 7.937 Å
α = 90.00°, β = 90.00°, γ = 90.00°
Fractional positions:
1 Ru 0.500 0.500 0.000
2 Hf 0.000 0.000 0.800
3 Hf 0.000 0.000 0.200
4 Ho 0.500 0.500 0.500